No. 1
A plane-wave DFT calculation with PBE was carried out for a geometry-optimized La2Tb3Sm6Ho structure.

Its size of the total moment is 0.00 μB/cell. The total energy comes out at -112.8 eV/cell. As for the volume: 33.70 A^3/atom.

The space group is C2/m (No. 12) and the conventional cell measures 6.280, 10.877 and 12.027 Å, with angles of 90.00, 100.07 and 90.00 degrees. Symmetry generates all atoms from La at (0.000, 0.167, 0.000), Tb at (0.000, 0.000, 0.500), Tb at (0.000, 0.334, 0.500), Sm at (0.247, 0.500, 0.746), Sm at (0.249, 0.166, 0.746) and Ho at (0.000, 0.500, 0.000).

=====

No. 2
A plane-wave DFT calculation with PBE was carried out for a geometry-optimized FeAs2Br structure.

The formation energy without anion corrections is 0.539 eV per atom. Its size of the total moment is 7.04 μB/cell. The value obtained for the distance to the lowest polymorph of the same formula is 569 meV/atom. As for the volume: 22.11 A^3/atom.

The space group is I4/mmm (No. 139) and the conventional cell measures 3.683, 3.683 and 13.039 Å, with angles of 90.00, 90.00 and 90.00 degrees. Symmetry generates all atoms from Fe at (0.000, 0.000, 0.000), As at (0.000, 0.500, 0.250) and Br at (0.000, 0.000, 0.500).

=====

No. 3
A plane-wave DFT calculation with PBE was carried out for a geometry-optimized MnAlRe2 structure.

Its size of the total moment is 0.00 μB/cell. The total energy comes out at -141.8 eV/cell. As for the volume: 15.67 A^3/atom.

The space group is I-42d (No. 122) and the conventional cell measures 7.123, 7.123 and 4.941 Å, with angles of 90.00, 90.00 and 90.00 degrees. Symmetry generates all atoms from Mn at (0.000, 0.000, 0.000), Al at (0.000, 0.000, 0.500) and Re at (0.191, 0.250, 0.125).

=====

No. 4
A plane-wave DFT calculation with PBE was carried out for a geometry-optimized KHg3As structure.

Its size of the total moment is 0.00 μB/cell. The value obtained for the distance to the lowest polymorph of the same formula is 0 meV/atom. As for the volume: 32.76 A^3/atom.

The space group is P1 (No. 1) and the conventional cell measures 6.182, 7.223 and 7.570 Å, with angles of 75.74, 89.22 and 89.76 degrees. Symmetry generates all atoms from K at (0.000, 0.000, 0.000), K at (0.209, 0.587, 0.612), Hg at (0.107, 0.135, 0.454), Hg at (0.271, 0.542, 0.144), Hg at (0.530, 0.002, 0.235), Hg at (0.552, 0.018, 0.714), Hg at (0.697, 0.413, 0.398), Hg at (0.785, 0.551, 0.957), As at (0.462, 0.238, 0.926) and As at (0.707, 0.797, 0.523).

=====

No. 5
A plane-wave DFT calculation with PBE was carried out for a geometry-optimized LiCaMnIr structure.

Its size of the total moment is 17.62 μB/cell. The total energy comes out at -87.8 eV/cell. As for the volume: 17.74 A^3/atom.

The space group is F-43m (No. 216) and the conventional cell measures 6.572, 6.572 and 6.572 Å, with angles of 90.00, 90.00 and 90.00 degrees. Symmetry generates all atoms from Li at (0.000, 0.000, 0.000), Ca at (0.250, 0.250, 0.750), Mn at (0.250, 0.250, 0.250) and Ir at (0.000, 0.000, 0.500).

=====

No. 6
A plane-wave DFT calculation with PBE was carried out for a geometry-optimized CaCuPt structure.

Its size of the total moment is 0.00 μB/cell. The value obtained for the distance to the lowest polymorph of the same formula is 135 meV/atom. As for the volume: 20.50 A^3/atom.

The space group is P-6m2 (No. 187) and the conventional cell measures 4.2829, 4.2829 and 3.8708 Å, with angles of 90.00, 90.00 and 120.00 degrees. Symmetry generates all atoms from Ca at (0.0000, 0.0000, 0.0000), Cu at (0.6667, 0.3333, 0.5000) and Pt at (0.3333, 0.6667, 0.5000).